Entry 1:
The following is a GGA-PBE calculation of a relaxed MgSiAu crystal, from the Alexandria database.

Cell: 4.3038 4.3038 3.3341 Å, 90.00 90.00 120.00°
Space group P-6m2 (No. 187)
Inequivalent atoms, fractional coordinates:
Mg (0.0000, 0.0000, 0.0000) x1
Si (0.3333, 0.6667, 0.5000) x1
Au (0.6667, 0.3333, 0.5000) x1

## Properties
ΔE_f (raw) ... -0.239 eV/atom
Fermi-level density of states ... 0.39 states/eV/atom



Entry 2:
The following is a GGA-PBE calculation of a relaxed In2SnBr8 crystal, from the Alexandria database.

Cell: 13.677 10.160 6.952 Å, 90.00 98.66 90.00°
Space group C2/m (No. 12)
Inequivalent atoms, fractional coordinates:
In (0.204, 0.000, 0.158) x4
Sn (0.000, 0.000, 0.500) x2
Br (0.102, 0.194, 0.265) x8
Br (0.118, 0.500, 0.701) x4
Br (0.192, 0.000, 0.784) x4

## Properties
ΔE_f (raw) ... -0.779 eV/atom
Energy above the most stable polymorph in this dataset ... 7 meV/atom
Fermi-level density of states ... 0.00 states/eV/atom



Entry 3:
The following is a GGA-PBE calculation of a relaxed PmSc5Hg4 crystal, from the Alexandria database.

Cell: 3.516 3.516 18.829 Å, 90.00 90.00 90.00°
Space group P4/mmm (No. 123)
Inequivalent atoms, fractional coordinates:
Pm (0.000, 0.000, 0.000) x1
Sc (0.500, 0.500, 0.126) x2
Sc (0.500, 0.500, 0.314) x2
Sc (0.500, 0.500, 0.500) x1
Hg (0.000, 0.000, 0.217) x2
Hg (0.000, 0.000, 0.406) x2

## Properties
Energy relative to the elements ... -332 meV/atom
Fermi-level density of states ... 1.18 states/eV/atom



Entry 4:
The following is a GGA-PBE calculation of a relaxed Hf2AlGaAg crystal, from the Alexandria database.

Cell: 5.003 5.003 4.633 Å, 90.00 90.00 90.00°
Space group P4/mmm (No. 123)
Inequivalent atoms, fractional coordinates:
Hf (0.000, 0.500, 0.000) x2
Al (0.000, 0.000, 0.000) x1
Ga (0.500, 0.500, 0.500) x1
Ag (0.000, 0.000, 0.500) x1

## Properties
Energy relative to the elements ... 669 meV/atom
Fermi-level density of states ... 0.32 states/eV/atom



Entry 5:
The following is a GGA-PBE calculation of a relaxed GdTh2Fe crystal, from the Alexandria database.

Cell: 3.7602 3.7602 30.1260 Å, 90.00 90.00 120.00°
Space group R-3m (No. 166, hexagonal axes)
Inequivalent atoms, fractional coordinates:
Gd (0.0000, 0.0000, 0.0000) x3
Th (0.0000, 0.0000, 0.1151) x6
Fe (0.0000, 0.0000, 0.5000) x3

## Properties
Energy relative to the elements ... 218 meV/atom
Energy above the most stable polymorph in this dataset ... 136 meV/atom
Fermi-level density of states ... 1.74 states/eV/atom



Entry 6:
The following is a GGA-PBE calculation of a relaxed Nd2Dy5Er3 crystal, from the Alexandria database.

Cell: 10.631 15.847 9.403 Å, 90.00 124.07 90.00°
Space group C2/c (No. 15)
Inequivalent atoms, fractional coordinates:
Nd (0.141, 0.127, 0.047) x8
Dy (0.000, 0.232, 0.250) x4
Dy (0.000, 0.273, 0.750) x4
Dy (0.000, 0.471, 0.750) x4
Dy (0.229, 0.383, 0.215) x8
Er (0.000, 0.023, 0.250) x4
Er (0.159, 0.380, 0.549) x8

## Properties
Energy relative to the elements ... 196 meV/atom
Energy above the most stable polymorph in this dataset ... 0 meV/atom
Fermi-level density of states ... 1.79 states/eV/atom



Entry 7:
The following is a GGA-PBE calculation of a relaxed AgSe3F crystal, from the Alexandria database.

Cell: 5.054 5.054 5.054 Å, 90.00 90.00 90.00°
Space group Pm-3m (No. 221)
Inequivalent atoms, fractional coordinates:
Ag (0.000, 0.000, 0.000) x1
Se (0.000, 0.000, 0.500) x3
F (0.500, 0.500, 0.500) x1

## Properties
ΔE_f (raw) ... 0.645 eV/atom
Energy above the most stable polymorph in this dataset ... 207 meV/atom
Fermi-level density of states ... 1.36 states/eV/atom



Entry 8:
The following is a GGA-PBE calculation of a relaxed Li3PuSn3 crystal, from the Alexandria database.

Cell: 7.139 7.139 7.139 Å, 90.00 90.00 90.00°
Space group Pm-3n (No. 223)
Inequivalent atoms, fractional coordinates:
Li (0.000, 0.250, 0.500) x6
Pu (0.000, 0.000, 0.000) x2
Sn (0.000, 0.500, 0.250) x6

## Properties
Energy relative to the elements ... 253 meV/atom
Fermi-level density of states ... 2.44 states/eV/atom



Entry 9:
The following is a GGA-PBE calculation of a relaxed TbPd6Pt crystal, from the Alexandria database.

Cell: 7.4056 7.4056 9.8872 Å, 90.00 90.00 120.00°
Space group R-3m (No. 166, hexagonal axes)
Inequivalent atoms, fractional coordinates:
Tb (0.0000, 0.0000, 0.0000) x3
Pd (0.0865, 0.5432, 0.3769) x18
Pt (0.0000, 0.0000, 0.5000) x3

## Properties
Energy relative to the elements ... 88 meV/atom
Energy above the most stable polymorph in this dataset ... 501 meV/atom
Fermi-level density of states ... 0.79 states/eV/atom



Entry 10:
The following is a GGA-PBE calculation of a relaxed PuH2 crystal, from the Alexandria database.

Cell: 5.773 5.773 5.773 Å, 90.00 90.00 90.00°
Space group Fd-3m (No. 227, origin choice 2)
Inequivalent atoms, fractional coordinates:
Pu (0.125, 0.125, 0.125) x8
H (0.000, 0.000, 0.500) x16

## Properties
E ... -6.635 eV/atom
Fermi-level density of states ... 0.92 states/eV/atom



Entry 11:
The following is a GGA-PBE calculation of a relaxed BaGeSe2N crystal, from the Alexandria database.

Cell: 5.346 5.346 3.987 Å, 90.00 90.00 90.00°
Space group P4/mmm (No. 123)
Inequivalent atoms, fractional coordinates:
Ba (0.000, 0.000, 0.000) x1
Ge (0.500, 0.500, 0.500) x1
Se (0.000, 0.500, 0.500) x2
N (0.500, 0.500, 0.000) x1

## Properties
ΔE_f (raw) ... -0.275 eV/atom
Energy above the most stable polymorph in this dataset ... 0 meV/atom
Fermi-level density of states ... 0.47 states/eV/atom



Entry 12:
The following is a GGA-PBE calculation of a relaxed Th2Ge3Pd2 crystal, from the Alexandria database.

Cell: 4.400 18.823 7.026 Å, 90.00 90.00 90.00°
Space group Cmcm (No. 63)
Inequivalent atoms, fractional coordinates:
Th (0.000, 0.054, 0.250) x4
Th (0.000, 0.158, 0.750) x4
Ge (0.000, 0.219, 0.250) x4
Ge (0.000, 0.438, 0.065) x8
Pd (0.000, 0.309, 0.549) x8

## Properties
Energy relative to the elements ... -819 meV/atom
Fermi-level density of states ... 0.36 states/eV/atom



Entry 13:
The following is a GGA-PBE calculation of a relaxed TaIr2 crystal, from the Alexandria database.

Cell: 10.211 2.854 6.628 Å, 90.00 104.59 90.00°
Space group Cm (No. 8)
Inequivalent atoms, fractional coordinates:
Ta (0.000, 0.000, 0.000) x2
Ta (0.180, 0.500, 0.349) x2
Ir (0.122, 0.500, 0.733) x2
Ir (0.282, 0.000, 0.067) x2
Ir (0.343, 0.000, 0.673) x2
Ir (0.459, 0.500, 0.397) x2

## Properties
Energy relative to the elements ... -398 meV/atom
Fermi-level density of states ... 0.82 states/eV/atom



Entry 14:
The following is a GGA-PBE calculation of a relaxed Tb4NdSc2 crystal, from the Alexandria database.

Cell: 11.486 6.317 6.108 Å, 90.00 100.40 90.00°
Space group C2/m (No. 12)
Inequivalent atoms, fractional coordinates:
Tb (0.159, 0.000, 0.001) x4
Tb (0.250, 0.250, 0.500) x4
Nd (0.000, 0.000, 0.500) x2
Sc (0.039, 0.500, 0.764) x4

## Properties
Energy relative to the elements ... 255 meV/atom
Energy above the most stable polymorph in this dataset ... 114 meV/atom
Fermi-level density of states ... 2.03 states/eV/atom



Entry 15:
The following is a GGA-PBE calculation of a relaxed Pm2ScInO crystal, from the Alexandria database.

Cell: 4.997 4.997 4.438 Å, 90.00 90.00 90.00°
Space group P4/mmm (No. 123)
Inequivalent atoms, fractional coordinates:
Pm (0.000, 0.500, 0.000) x2
Sc (0.000, 0.000, 0.500) x1
In (0.500, 0.500, 0.500) x1
O (0.000, 0.000, 0.000) x1

## Properties
ΔE_f (raw) ... -1.414 eV/atom
Fermi-level density of states ... 0.78 states/eV/atom



Entry 16:
The following is a GGA-PBE calculation of a relaxed Tb2PrEr3S6 crystal, from the Alexandria database.

Cell: 6.770 11.767 6.831 Å, 90.00 109.35 90.00°
Space group C2/m (No. 12)
Inequivalent atoms, fractional coordinates:
Tb (0.000, 0.166, 0.000) x4
Pr (0.000, 0.500, 0.000) x2
Er (0.000, 0.000, 0.500) x2
Er (0.000, 0.338, 0.500) x4
S (0.241, 0.171, 0.738) x8
S (0.244, 0.000, 0.259) x4

## Properties
ΔE_f (raw) ... -1.986 eV/atom
Fermi-level density of states ... 0.43 states/eV/atom



Entry 17:
The following is a GGA-PBE calculation of a relaxed SrCuSb crystal, from the Alexandria database.

Cell: 4.654 4.654 7.198 Å, 90.00 90.00 90.00°
Space group P4/nmm (No. 129, origin choice 2)
Inequivalent atoms, fractional coordinates:
Sr (0.250, 0.250, 0.196) x2
Cu (0.250, 0.750, 0.500) x2
Sb (0.250, 0.250, 0.710) x2

## Properties
ΔE_f (raw) ... -0.629 eV/atom
Fermi-level density of states ... 0.08 states/eV/atom



Entry 18:
The following is a GGA-PBE calculation of a relaxed Sm2Dy4Er5 crystal, from the Alexandria database.

Cell: 3.650 9.169 10.841 Å, 102.42 99.66 90.00°
Space group P-1 (No. 2)
Inequivalent atoms, fractional coordinates:
Sm (0.115, 0.005, 0.229) x2
Dy (0.172, 0.419, 0.343) x2
Dy (0.472, 0.794, 0.944) x2
Er (0.000, 0.500, 0.000) x1
Er (0.251, 0.828, 0.502) x2
Er (0.381, 0.306, 0.763) x2

## Properties
Energy relative to the elements ... 62 meV/atom
Energy above the most stable polymorph in this dataset ... 0 meV/atom
Fermi-level density of states ... 1.49 states/eV/atom



Entry 19:
The following is a GGA-PBE calculation of a relaxed Sc3InGa crystal, from the Alexandria database.

Cell: 12.805 9.293 9.766 Å, 90.00 130.14 90.00°
Space group C2/c (No. 15)
Inequivalent atoms, fractional coordinates:
Sc (0.118, 0.096, 0.086) x8
Sc (0.150, 0.254, 0.556) x8
Sc (0.227, 0.396, 0.057) x8
In (0.094, 0.445, 0.206) x8
Ga (0.000, 0.067, 0.250) x4
Ga (0.000, 0.230, 0.750) x4

## Properties
Energy relative to the elements ... -295 meV/atom
Energy above the most stable polymorph in this dataset ... 0 meV/atom
Fermi-level density of states ... 1.04 states/eV/atom



Entry 20:
The following is a GGA-PBE calculation of a relaxed Rb2LiGeCl5 crystal, from the Alexandria database.

Cell: 4.190 18.824 13.593 Å, 90.00 90.00 90.00°
Space group Cmc2_1 (No. 36)
Inequivalent atoms, fractional coordinates:
Rb (0.000, 0.099, 0.000) x4
Rb (0.000, 0.127, 0.628) x4
Li (0.000, 0.435, 0.773) x4
Ge (0.000, 0.212, 0.347) x4
Cl (0.000, 0.059, 0.362) x4
Cl (0.000, 0.278, 0.979) x4
Cl (0.000, 0.308, 0.717) x4
Cl (0.000, 0.344, 0.322) x4
Cl (0.000, 0.496, 0.624) x4

## Properties
ΔE_f (raw) ... -1.543 eV/atom
Fermi-level density of states ... 0.00 states/eV/atom



Entry 21:
The following is a GGA-PBE calculation of a relaxed LaTh2Tl crystal, from the Alexandria database.

Cell: 3.4362 3.4362 37.5122 Å, 90.00 90.00 120.00°
Space group R-3m (No. 166, hexagonal axes)
Inequivalent atoms, fractional coordinates:
La (0.0000, 0.0000, 0.0000) x3
Th (0.0000, 0.0000, 0.0912) x6
Tl (0.0000, 0.0000, 0.5000) x3

## Properties
Energy relative to the elements ... 157 meV/atom
Energy above the most stable polymorph in this dataset ... 251 meV/atom
Fermi-level density of states ... 1.32 states/eV/atom



Entry 22:
The following is a GGA-PBE calculation of a relaxed Ba2NaGa crystal, from the Alexandria database.

Cell: 4.149 4.149 9.815 Å, 90.00 90.00 90.00°
Space group P4/mmm (No. 123)
Inequivalent atoms, fractional coordinates:
Ba (0.000, 0.000, 0.197) x2
Na (0.500, 0.500, 0.500) x1
Ga (0.500, 0.500, 0.000) x1

## Properties
Energy relative to the elements ... -210 meV/atom
Fermi-level density of states ... 0.76 states/eV/atom



Entry 23:
The following is a GGA-PBE calculation of a relaxed Ac2Sn8Rh crystal, from the Alexandria database.

Cell: 4.849 4.849 12.851 Å, 90.00 90.00 90.00°
Space group P4/mmm (No. 123)
Inequivalent atoms, fractional coordinates:
Ac (0.000, 0.000, 0.192) x2
Sn (0.000, 0.500, 0.000) x2
Sn (0.000, 0.500, 0.383) x4
Sn (0.500, 0.500, 0.199) x2
Rh (0.000, 0.000, 0.500) x1

## Properties
Energy relative to the elements ... -459 meV/atom
Fermi-level density of states ... 0.41 states/eV/atom



These records have magnetization values of 0.00, 0.00, 0.00, 0.00, 1.96, 0.00, 0.18, 0.88, 0.00, 0.00, 0.26, 0.00, 0.00, 0.00, 0.00, 0.00, 0.00, 0.00, 0.00, 0.00, 0.00, 0.00, 0.00 μB per atom, in the order they appear.